Fe2CoO3 PBE with a Hubbard U optimized geometry; uncorrected energy = -6.403 eV per atom
1.0
2.978 0.069 -0.695
-0.085 2.977 -0.696
0.004 0.006 7.063
Fe O Co
2 3 1
Cartesian
0.299 0.300 1.308
2.236 2.340 2.765
0.789 0.818 3.462
2.684 2.877 4.872
1.744 1.824 0.611
1.245 1.347 5.568